1.
Density functional theory data (GGA-PBE) for a relaxed structure of ZnSe2N.

Values from the calculation:
Polymorph energy (0 for the lowest one) ... 0.0 meV per atom
ΔE_f (raw) ... 0.556 eV per atom
Total magnetic moment ... 0.000 μB/cell
Space-group type ... R-3m

```
ZnSe2N
1.0
2.025 1.169 6.161
-2.025 1.169 6.161
0.000 -2.338 6.161
Zn Se N
1 2 1
Direct
0.000 0.000 0.000 Zn
0.406 0.406 0.406 Se
0.594 0.594 0.594 Se
0.500 0.500 0.500 N
```

---

2.
Density functional theory data (GGA-PBE) for a relaxed structure of CsCuTcBr6.

Values from the calculation:
ΔE_f (raw) ... -0.664 eV per atom
Total magnetic moment ... 3.082 μB/cell
Space-group type ... P312

```
CsCuTcBr6
1.0
6.838 0.000 0.000
-3.419 5.922 0.000
0.000 0.000 8.181
Cs Cu Tc Br
1 1 1 6
Direct
0.000 0.000 0.000 Cs
0.333 0.667 0.500 Cu
0.667 0.333 0.500 Tc
0.378 0.014 0.677 Br
0.378 0.364 0.323 Br
0.636 0.014 0.323 Br
0.636 0.622 0.677 Br
0.986 0.364 0.677 Br
0.986 0.622 0.323 Br
```

---

3.
Density functional theory data (GGA-PBE) for a relaxed structure of AcTbMgTl.

Values from the calculation:
Calculated formation energy ... -208 meV per atom
Polymorph energy (0 for the lowest one) ... 0.0 meV per atom
Total magnetic moment ... 0.000 μB/cell
Space-group type ... P4mm

```
AcTbMgTl
1.0
3.975 0.000 0.000
0.000 3.975 0.000
0.000 0.000 7.897
Ac Tb Mg Tl
1 1 1 1
Direct
0.000 0.000 0.000 Ac
0.000 0.000 0.495 Tb
0.500 0.500 0.279 Mg
0.500 0.500 0.712 Tl
```

---

4.
Density functional theory data (GGA-PBE) for a relaxed structure of ZrCdAg2.

Values from the calculation:
Calculated formation energy ... -7 meV per atom
Total magnetic moment ... 0.000 μB/cell
Space-group type ... Pm

```
ZrCdAg2
1.0
2.902 0.000 0.000
0.000 4.682 0.000
-1.402 0.000 5.833
Zr Cd Ag
1 1 2
Direct
0.000 0.000 0.000 Zr
0.348 0.500 0.698 Cd
0.605 0.500 0.214 Ag
0.736 0.000 0.485 Ag
```

---

5.
Density functional theory data (GGA-PBE) for a relaxed structure of ReSiBr2.

Values from the calculation:
Polymorph energy (0 for the lowest one) ... 1018.2 meV per atom
ΔE_f (raw) ... 1.154 eV per atom
Total magnetic moment ... 1.198 μB/cell
Space-group type ... P2/m

```
ReSiBr2
1.0
4.671 0.000 0.000
0.000 3.102 0.000
-1.833 0.000 5.202
Re Si Br
1 1 2
Direct
0.000 0.000 0.000 Re
0.000 0.500 0.500 Si
0.500 0.000 0.500 Br
0.500 0.500 0.000 Br
```

---

6.
Density functional theory data (GGA-PBE) for a relaxed structure of Ru6Pt7.

Values from the calculation:
Calculated formation energy ... 460 meV per atom
Total magnetic moment ... 4.241 μB/cell
Space-group type ... R-3m

```
Ru6Pt7
1.0
2.599 1.501 8.812
-2.599 1.501 8.812
0.000 -3.001 8.812
Ru Pt
6 7
Direct
0.044 0.044 0.044 Ru
0.152 0.152 0.152 Ru
0.333 0.333 0.333 Ru
0.667 0.667 0.667 Ru
0.848 0.848 0.848 Ru
0.956 0.956 0.956 Ru
0.081 0.587 0.587 Pt
0.413 0.413 0.919 Pt
0.413 0.919 0.413 Pt
0.500 0.500 0.500 Pt
0.587 0.081 0.587 Pt
0.587 0.587 0.081 Pt
0.919 0.413 0.413 Pt
```

---

7.
Density functional theory data (GGA-PBE) for a relaxed structure of Nd2BPd4Pt2.

Values from the calculation:
Calculated formation energy ... -823 meV per atom
Total magnetic moment ... 0.000 μB/cell
Space-group type ... I4/mmm

```
Nd2BPd4Pt2
1.0
-3.023 3.023 4.293
3.023 -3.023 4.293
3.023 3.023 -4.293
Nd B Pd Pt
2 1 4 2
Direct
0.250 0.750 0.500 Nd
0.750 0.250 0.500 Nd
0.000 0.000 0.000 B
0.260 0.260 0.520 Pd
0.260 0.740 0.000 Pd
0.740 0.260 0.000 Pd
0.740 0.740 0.480 Pd
0.247 0.247 0.000 Pt
0.753 0.753 0.000 Pt
```

---

8.
Density functional theory data (GGA-PBE) for a relaxed structure of RuPtRh5.

Values from the calculation:
Calculated formation energy ... 292 meV per atom
Total magnetic moment ... 0.882 μB/cell
Space-group type ... P4/mmm

```
RuPtRh5
1.0
3.837 0.000 0.000
0.000 3.837 0.000
0.000 0.000 7.374
Ru Pt Rh
1 1 5
Direct
0.000 0.000 0.000 Ru
0.000 0.000 0.500 Pt
0.000 0.500 0.232 Rh
0.000 0.500 0.768 Rh
0.500 0.000 0.232 Rh
0.500 0.000 0.768 Rh
0.500 0.500 0.500 Rh
```